[1]
A relaxed Sc2W crystal, computed with PBE.

abc: 11.5228 2.8920 7.3682
angles: 90.00 103.23 90.00
With the nearest neighbours (Å) after each atom.
Space group C2/m (No. 12)
Inequivalent atoms, fractional coordinates:
Sc (0.0329, 0.0000, 0.3306) x4  3 Sc 2.77-2.89, 3 W 2.96-3.08
Sc (0.1405, 0.5000, 0.0198) x4  9 Sc 2.89-3.22, 3 W 3.01-3.03
W (0.2077, 0.5000, 0.6485) x4  4 W 2.89-2.97, 8 Sc 2.96-3.16

Results
excess energy over the best structure of this formula in the dataset	0.187	eV/atom
crystal system	monoclinic
E_tot	-8.238	eV per atom



[2]
A relaxed ScW3 crystal, computed with PBE.

abc: 4.6716 4.6716 4.6716
angles: 90.00 90.00 90.00
With the nearest neighbours (Å) after each atom.
Space group Pm-3m (No. 221)
Inequivalent atoms, fractional coordinates:
Sc (0.0000, 0.0000, 0.0000) x1  6 W 2.34
W (0.0000, 0.0000, 0.5000) x3  2 Sc 2.34

Results
crystal system	cubic
E_tot	-7.578	eV per atom



| no. | DFT formation energy (eV/f.u.) | DOS at the Fermi energy (states/eV/cell) | total magnetization (μB/f.u.) |
| --- | --- | --- | --- |
| 1 | 0.90 | 13.03 | 0.0 |
| 2 | 14.88 | 7.92 | 1.0 |